Ba2CaO2F2: relaxed, PBE.

Results
- Fermi-level density of states: 0.00 states/eV/f.u.
- Formation energy without anion corrections: -3121 meV per atom
- M_tot: 0.000 μB per cell
- Calculated total energy: -5.908 eV per atom
- Calculated density: 4.7 g/cm³

Cell and atoms, written as POSCAR:
```
Ba2CaO2F2
1.0
-2.248 2.248 6.767
2.248 -2.248 6.767
2.248 2.248 -6.767
Ba Ca O F
2 1 2 2
Direct
0.125 0.125 0.000
0.875 0.875 0.000
0.500 0.500 0.000
0.000 0.500 0.500
0.500 0.000 0.500
0.320 0.320 0.000
0.680 0.680 0.000
```